NaY3Tl after structural relaxation, computed with PBE.

Total DFT energy (no corrections)   -3.859 eV/atom
D(E_F)   7.14 states/eV/cell
Energy of formation from the pure elements   0.756 eV/atom
Energy above the lowest structure with this stoichiometry   381 meV per atom
Volume   166.9 Å³/cell

Cell: 5.5060 5.5060 5.5060 Å, 90.00 90.00 90.00°
Last column: nearest neighbours and their distance in Å.
Space group Pm-3m (No. 221)
Inequivalent atoms, fractional coordinates:
Na: 0.0000 0.0000 0.0000 x1  6 Y 2.75
Y: 0.0000 0.0000 0.5000 x3  2 Na 2.75
Tl: 0.5000 0.5000 0.5000 x1  12 Y 3.89